Entry 1:
Computed, not measured: a crystal of Ba3ZnH relaxed with PBEsol at the SCAN level of DFT.

Structure (CIF):
```
data_Ba3ZnH
_chemical_formula_sum 'Ba3 Zn1 H1'
_space_group_name_H-M_alt 'P m -3 m'
_space_group_IT_number 221
_space_group_name_Hall '-P 4 2 3'
_cell_length_a 5.473
_cell_length_b 5.473
_cell_length_c 5.473
_cell_angle_alpha 90.00
_cell_angle_beta 90.00
_cell_angle_gamma 90.00
loop_
_atom_site_label
_atom_site_type_symbol
_atom_site_fract_x
_atom_site_fract_y
_atom_site_fract_z
_atom_site_occupancy
Ba1 Ba 0.000 0.000 0.500 1
Zn1 Zn 0.500 0.500 0.500 1
H1 H 0.000 0.000 0.000 1
```

Calculated values
- E (Ha/atom) = -1.0004

---

Entry 2:
Computed, not measured: a crystal of BaZrH2 relaxed with PBEsol at the SCAN level of DFT.

Structure (CIF):
```
data_BaZrH2
_chemical_formula_sum 'Ba4 Zr4 H8'
_space_group_name_H-M_alt 'F m -3 m'
_space_group_IT_number 225
_space_group_name_Hall '-F 4 2 3'
_cell_length_a 6.332
_cell_length_b 6.332
_cell_length_c 6.332
_cell_angle_alpha 90.00
_cell_angle_beta 90.00
_cell_angle_gamma 90.00
loop_
_atom_site_label
_atom_site_type_symbol
_atom_site_fract_x
_atom_site_fract_y
_atom_site_fract_z
_atom_site_occupancy
Ba1 Ba 0.000 0.000 0.000 1
Zr1 Zr 0.000 0.000 0.500 1
H1 H 0.250 0.250 0.250 1
```

Calculated values
- E (Ha/atom) = -0.6851

---

Entry 3:
Computed, not measured: a crystal of BaHf2HgN relaxed with PBEsol at the SCAN level of DFT.

Structure (CIF):
```
data_BaHf2HgN
_chemical_formula_sum 'Ba1 Hf2 Hg1 N1'
_space_group_name_H-M_alt 'P 4/m m m'
_space_group_IT_number 123
_space_group_name_Hall '-P 4 2'
_cell_length_a 4.367
_cell_length_b 4.367
_cell_length_c 6.451
_cell_angle_alpha 90.00
_cell_angle_beta 90.00
_cell_angle_gamma 90.00
loop_
_atom_site_label
_atom_site_type_symbol
_atom_site_fract_x
_atom_site_fract_y
_atom_site_fract_z
_atom_site_occupancy
Ba1 Ba 0.000 0.000 0.000 1
Hf1 Hf 0.000 0.500 0.500 1
Hg1 Hg 0.500 0.500 0.000 1
N1 N 0.500 0.500 0.500 1
```

Calculated values
- ΔE_f (raw) (eV per atom) = -0.081

---

Entry 4:
Computed, not measured: a crystal of Ba3HfI relaxed with PBEsol at the SCAN level of DFT.

Structure (CIF):
```
data_Ba3HfI
_chemical_formula_sum 'Ba3 Hf1 I1'
_space_group_name_H-M_alt 'P m -3 m'
_space_group_IT_number 221
_space_group_name_Hall '-P 4 2 3'
_cell_length_a 6.124
_cell_length_b 6.124
_cell_length_c 6.124
_cell_angle_alpha 90.00
_cell_angle_beta 90.00
_cell_angle_gamma 90.00
loop_
_atom_site_label
_atom_site_type_symbol
_atom_site_fract_x
_atom_site_fract_y
_atom_site_fract_z
_atom_site_occupancy
Ba1 Ba 0.000 0.000 0.500 1
Hf1 Hf 0.000 0.000 0.000 1
I1 I 0.500 0.500 0.500 1
```

Calculated values
- ΔE_f (raw) (eV per atom) = 0.283

---

Entry 5:
Computed, not measured: a crystal of BaHfMn2I relaxed with PBEsol at the SCAN level of DFT.

Structure (CIF):
```
data_BaHfMn2I
_chemical_formula_sum 'Ba1 Hf1 Mn2 I1'
_space_group_name_H-M_alt 'P 4/m m m'
_space_group_IT_number 123
_space_group_name_Hall '-P 4 2'
_cell_length_a 4.861
_cell_length_b 4.861
_cell_length_c 6.760
_cell_angle_alpha 90.00
_cell_angle_beta 90.00
_cell_angle_gamma 90.00
loop_
_atom_site_label
_atom_site_type_symbol
_atom_site_fract_x
_atom_site_fract_y
_atom_site_fract_z
_atom_site_occupancy
Ba1 Ba 0.000 0.000 0.000 1
Hf1 Hf 0.000 0.000 0.500 1
Mn1 Mn 0.000 0.500 0.500 1
I1 I 0.500 0.500 0.000 1
```

Calculated values
- ΔE_f (raw) (eV per atom) = 0.529

---

Entry 6:
Computed, not measured: a crystal of BaHfSb2I relaxed with PBEsol at the SCAN level of DFT.

Structure (CIF):
```
data_BaHfSb2I
_chemical_formula_sum 'Ba1 Hf1 Sb2 I1'
_space_group_name_H-M_alt 'P 4/m m m'
_space_group_IT_number 123
_space_group_name_Hall '-P 4 2'
_cell_length_a 5.995
_cell_length_b 5.995
_cell_length_c 6.086
_cell_angle_alpha 90.00
_cell_angle_beta 90.00
_cell_angle_gamma 90.00
loop_
_atom_site_label
_atom_site_type_symbol
_atom_site_fract_x
_atom_site_fract_y
_atom_site_fract_z
_atom_site_occupancy
Ba1 Ba 0.000 0.000 0.000 1
Hf1 Hf 0.500 0.500 0.500 1
Sb1 Sb 0.000 0.500 0.000 1
I1 I 0.000 0.000 0.500 1
```

Calculated values
- ΔE_f (raw) (eV per atom) = 1.181